(1)
First-principles (PBE) data for a relaxed structure of Mg4ZrAg, as listed in Alexandria.

Calculated values
- total energy (eV/f.u.) = -16.328
- D(E_F) (states/eV per cell) = 5.70

abc: 5.698 5.698 5.698
angles: 60.00 60.00 60.00
Fractional positions:
Mg 0.124 0.124 0.124
Mg 0.124 0.124 0.627
Mg 0.124 0.627 0.124
Mg 0.627 0.124 0.124
Zr 0.750 0.750 0.750
Ag 0.500 0.500 0.500

(2)
First-principles (PBE) data for a relaxed structure of Pr6SmEr2Tm, as listed in Alexandria.

Calculated values
- total energy (eV/f.u.) = -45.845
- D(E_F) (states/eV per cell) = 29.35

abc: 8.997 8.997 9.667
angles: 93.67 93.67 117.30
Fractional positions:
Pr 0.004 0.562 0.189
Pr 0.115 0.763 0.554
Pr 0.237 0.885 0.946
Pr 0.294 0.513 0.383
Pr 0.438 0.996 0.311
Pr 0.487 0.706 0.117
Pr 0.513 0.294 0.883
Pr 0.562 0.004 0.689
Pr 0.706 0.487 0.617
Pr 0.763 0.115 0.054
Pr 0.885 0.237 0.446
Pr 0.996 0.438 0.811
Sm 0.028 0.972 0.250
Sm 0.972 0.028 0.750
Er 0.203 0.299 0.048
Er 0.299 0.203 0.548
Er 0.701 0.797 0.452
Er 0.797 0.701 0.952
Tm 0.413 0.587 0.750
Tm 0.587 0.413 0.250

(3)
First-principles (PBE) data for a relaxed structure of ScI2, as listed in Alexandria.

Calculated values
- total energy (eV/f.u.) = -12.405
- D(E_F) (states/eV per cell) = 4.22
- uncorrected formation energy (meV/atom) = -991

abc: 7.235 7.235 4.102
angles: 90.00 90.00 90.00
Fractional positions:
Sc 0.000 0.000 0.000
Sc 0.500 0.500 0.500
I 0.207 0.207 0.500
I 0.293 0.707 0.000
I 0.707 0.293 0.000
I 0.793 0.793 0.500

(4)
First-principles (PBE) data for a relaxed structure of NdAl2Ag6, as listed in Alexandria.

Calculated values
- total energy (eV/f.u.) = -27.214
- D(E_F) (states/eV per cell) = 11.03

abc: 8.421 8.421 8.421
angles: 60.00 60.00 60.00
Fractional positions:
Nd 0.125 0.125 0.125
Nd 0.875 0.875 0.875
Al 0.000 0.500 0.500
Al 0.500 0.000 0.500
Al 0.500 0.500 0.000
Al 0.500 0.500 0.500
Ag 0.129 0.129 0.621
Ag 0.129 0.621 0.129
Ag 0.129 0.621 0.621
Ag 0.379 0.379 0.871
Ag 0.379 0.871 0.379
Ag 0.379 0.871 0.871
Ag 0.621 0.129 0.129
Ag 0.621 0.129 0.621
Ag 0.621 0.621 0.129
Ag 0.871 0.379 0.379
Ag 0.871 0.379 0.871
Ag 0.871 0.871 0.379

(5)
First-principles (PBE) data for a relaxed structure of InHPd3, as listed in Alexandria.

Calculated values
- total energy (eV/f.u.) = -22.459
- D(E_F) (states/eV per cell) = 3.47

abc: 6.403 6.403 6.403
angles: 130.51 130.51 72.59
Fractional positions:
In 0.147 0.147 0.000
In 0.853 0.853 0.000
H 0.500 0.500 0.000
H 0.750 0.250 0.500
Pd 0.118 0.618 0.500
Pd 0.126 0.378 0.749
Pd 0.382 0.882 0.500
Pd 0.622 0.371 0.749
Pd 0.622 0.874 0.251
Pd 0.629 0.378 0.251

(6)
First-principles (PBE) data for a relaxed structure of BeTlAu2, as listed in Alexandria.

Calculated values
- total energy (eV/f.u.) = -12.570
- D(E_F) (states/eV per cell) = 0.95

abc: 3.665 3.665 7.128
angles: 104.53 104.53 59.45
Fractional positions:
Be 0.000 0.000 0.000
Tl 0.500 0.500 0.500
Au 0.278 0.278 0.834
Au 0.722 0.722 0.166

(7)
First-principles (PBE) data for a relaxed structure of LaNiTe2Br, as listed in Alexandria.

Calculated values
- total energy (eV/f.u.) = -15.758
- D(E_F) (states/eV per cell) = 5.19
- uncorrected formation energy (meV/atom) = 581

abc: 5.726 5.726 5.480
angles: 90.00 90.00 90.00
Fractional positions:
La 0.000 0.000 0.000
Ni 0.500 0.500 0.000
Te 0.000 0.500 0.500
Te 0.500 0.000 0.500
Br 0.000 0.000 0.500

(8)
First-principles (PBE) data for a relaxed structure of CrGeH2I, as listed in Alexandria.

Calculated values
- total energy (eV/f.u.) = -19.456
- D(E_F) (states/eV per cell) = 1.53

abc: 3.941 3.941 6.202
angles: 90.00 90.00 90.00
Fractional positions:
Cr 0.000 0.000 0.000
Ge 0.500 0.500 0.500
H 0.000 0.500 0.500
H 0.500 0.000 0.500
I 0.500 0.500 0.000

(9)
First-principles (PBE) data for a relaxed structure of PmIn2Hg, as listed in Alexandria.

Calculated values
- total energy (eV/f.u.) = -11.461
- D(E_F) (states/eV per cell) = 3.74

abc: 3.773 3.773 7.414
angles: 90.00 90.00 90.00
Fractional positions:
Pm 0.000 0.000 0.000
In 0.500 0.500 0.277
In 0.500 0.500 0.723
Hg 0.000 0.000 0.500

(10)
First-principles (PBE) data for a relaxed structure of K3U2HgO9, as listed in Alexandria.

Calculated values
- total energy (eV/f.u.) = -104.710
- D(E_F) (states/eV per cell) = 11.18
- uncorrected formation energy (meV/atom) = -2261

abc: 6.124 6.124 7.539
angles: 90.00 90.00 120.00
Fractional positions:
K 0.000 0.000 0.000
K 0.333 0.667 0.654
K 0.667 0.333 0.346
U 0.333 0.667 0.165
U 0.667 0.333 0.835
Hg 0.000 0.000 0.500
O 0.000 0.500 0.000
O 0.177 0.353 0.315
O 0.177 0.823 0.315
O 0.353 0.177 0.685
O 0.500 0.000 0.000
O 0.500 0.500 0.000
O 0.647 0.823 0.315
O 0.823 0.177 0.685
O 0.823 0.647 0.685

(11)
First-principles (PBE) data for a relaxed structure of CsNiRuCl6, as listed in Alexandria.

Calculated values
- total energy (eV/f.u.) = -34.756
- D(E_F) (states/eV per cell) = 8.63
- uncorrected formation energy (meV/atom) = -863

abc: 6.278 6.278 7.883
angles: 90.00 90.00 120.00
Fractional positions:
Cs 0.000 0.000 0.000
Ni 0.667 0.333 0.500
Ru 0.333 0.667 0.500
Cl 0.005 0.372 0.670
Cl 0.005 0.633 0.330
Cl 0.367 0.372 0.330
Cl 0.367 0.995 0.670
Cl 0.628 0.633 0.670
Cl 0.628 0.995 0.330

(12)
First-principles (PBE) data for a relaxed structure of LaPmAlGe, as listed in Alexandria.

Calculated values
- total energy (eV/f.u.) = -20.695
- D(E_F) (states/eV per cell) = 3.26

abc: 4.148 6.161 6.161
angles: 43.31 90.00 90.00
Fractional positions:
La 0.000 0.000 0.000
Pm 0.500 0.283 0.283
Al 0.000 0.713 0.713
Ge 0.500 0.571 0.571